Computed, not measured: a geometry-optimized CoCuAu structure at the GGA-PBE level of DFT.

CIF file:
```
data_CoCuAu
_space_group_name_H-M_alt 'P 1'
_space_group_IT_number 1
_space_group_name_Hall 'P 1'
_cell_length_a 4.0933
_cell_length_b 4.0933
_cell_length_c 4.0933
_cell_angle_alpha 60.00
_cell_angle_beta 60.00
_cell_angle_gamma 60.00
loop_
_atom_site_label
_atom_site_type_symbol
_atom_site_fract_x
_atom_site_fract_y
_atom_site_fract_z
Co1 Co 0.0000 0.0000 0.0000
Cu1 Cu 0.2500 0.2500 0.2500
Au1 Au 0.7500 0.7500 0.7500
```

Computed properties:
**Calculated formation energy**: 0.522 eV/atom
**Crystal system**: cubic

***

Computed, not measured: a geometry-optimized NaCaCo2Pd structure at the GGA-PBE level of DFT.

CIF file:
```
data_NaCaCo2Pd
_space_group_name_H-M_alt 'P 1'
_space_group_IT_number 1
_space_group_name_Hall 'P 1'
_cell_length_a 4.6061
_cell_length_b 4.6061
_cell_length_c 4.8362
_cell_angle_alpha 90.00
_cell_angle_beta 90.00
_cell_angle_gamma 90.00
loop_
_atom_site_label
_atom_site_type_symbol
_atom_site_fract_x
_atom_site_fract_y
_atom_site_fract_z
Na1 Na 0.0000 0.0000 0.0000
Ca1 Ca 0.5000 0.5000 0.5000
Co1 Co 0.0000 0.5000 0.0000
Co2 Co 0.5000 0.0000 0.0000
Pd1 Pd 0.0000 0.0000 0.5000
```

Computed properties:
**Calculated formation energy**: 1.078 eV/atom
**Crystal system**: tetragonal

***

Asked for total DFT energy (no corrections) across the records above, the calculation gives -0.1582, -0.1274 Ha/atom in order.